# LiWBr2 | Alexandria via LeMat-Bulk | PBE | relaxed
data_LiWBr2
_symmetry_space_group_name_H-M 'P 1'
_symmetry_Int_Tables_number 1
_symmetry_space_group_name_Hall 'P 1'
_cell_length_a 3.161
_cell_length_b 4.177
_cell_length_c 6.362
_cell_angle_alpha 90.00
_cell_angle_beta 101.42
_cell_angle_gamma 90.00
loop_
_atom_site_label
_atom_site_fract_x
_atom_site_fract_y
_atom_site_fract_z
Li1 0.000 0.000 0.000
W1 0.500 0.000 0.500
Br1 0.398 0.500 0.254
Br2 0.602 0.500 0.746
# V = 82 Å³ per cell

# Li2WBr | Alexandria via LeMat-Bulk | PBE | relaxed
data_Li2WBr
_symmetry_space_group_name_H-M 'P 1'
_symmetry_Int_Tables_number 1
_symmetry_space_group_name_Hall 'P 1'
_cell_length_a 5.402
_cell_length_b 5.402
_cell_length_c 5.402
_cell_angle_alpha 138.87
_cell_angle_beta 138.87
_cell_angle_gamma 59.58
loop_
_atom_site_label
_atom_site_fract_x
_atom_site_fract_y
_atom_site_fract_z
Li1 0.250 0.750 0.500
Li2 0.750 0.250 0.500
W1 0.000 0.000 0.000
Br1 0.500 0.500 0.000
# V = 68 Å³ per cell

# LiWBr2 | Alexandria via LeMat-Bulk | PBE | relaxed
data_LiWBr2
_symmetry_space_group_name_H-M 'P 1'
_symmetry_Int_Tables_number 1
_symmetry_space_group_name_Hall 'P 1'
_cell_length_a 3.248
_cell_length_b 3.248
_cell_length_c 7.700
_cell_angle_alpha 90.00
_cell_angle_beta 90.00
_cell_angle_gamma 90.00
loop_
_atom_site_label
_atom_site_fract_x
_atom_site_fract_y
_atom_site_fract_z
Li1 0.000 0.000 0.000
W1 0.500 0.500 0.235
Br1 0.000 0.000 0.423
Br2 0.500 0.500 0.886
# V = 81 Å³ per cell

Number 1: formation energy from raw total energies 299 meV per atom, E -4.25 eV/atom. Number 2: formation energy from raw total energies 929 meV per atom, E -3.68 eV/atom. Number 3: formation energy from raw total energies 159 meV per atom, E -4.39 eV/atom.